An optimized crystal structure of Ac3ThPb5, computed with PBE-GGA.

Results
V in Å³/atom: 34.32
Total magnetic moment in μB/atom: 0.00
Symmetry: P6_3/mcm (193)
Energy of formation from the pure elements in eV/atom: -0.445
D(E_F) in states/eV per cell: 19.110

Cell: 6.8543 10.2008 10.2008 Å, 120.00 90.00 90.00°
With the nearest neighbours (Å) after each atom.
Fractional positions:
Th 0.0000 0.0000 0.0000  6 Pb 3.35, 2 Th 3.43
Th 0.5000 0.0000 0.0000  6 Pb 3.35, 2 Th 3.43
Ac 0.7500 0.6203 0.6203  9 Pb 3.45-3.62
Ac 0.2500 0.0000 0.6203  9 Pb 3.45-3.62
Ac 0.7500 0.0000 0.3797  9 Pb 3.45-3.62
Ac 0.2500 0.3797 0.3797  9 Pb 3.45-3.62
Ac 0.7500 0.3797 0.0000  9 Pb 3.45-3.62
Ac 0.2500 0.6203 0.0000  9 Pb 3.45-3.62
Pb 0.7500 0.2824 0.2824  2 Th 3.35, 5 Ac 3.45-3.57
Pb 0.7500 0.7176 0.0000  2 Th 3.35, 5 Ac 3.45-3.57
Pb 0.5000 0.6667 0.3333  2 Pb 3.43, 6 Ac 3.62
Pb 0.2500 0.0000 0.2824  2 Th 3.35, 5 Ac 3.45-3.57
Pb 0.0000 0.3333 0.6667  2 Pb 3.43, 6 Ac 3.62
Pb 0.7500 0.0000 0.7176  2 Th 3.35, 5 Ac 3.45-3.57
Pb 0.5000 0.3333 0.6667  2 Pb 3.43, 6 Ac 3.62
Pb 0.2500 0.7176 0.7176  2 Th 3.35, 5 Ac 3.45-3.57
Pb 0.2500 0.2824 0.0000  2 Th 3.35, 5 Ac 3.45-3.57
Pb 0.0000 0.6667 0.3333  2 Pb 3.43, 6 Ac 3.62